Cd5Bi6Cl12O8 at its PBEsol-relaxed geometry, computed with SCAN.

Values from the calculation:
The uncorrected formation energy comes out at -1.2450 eV/atom. The mass density is 6.31 g/cm³. Its spin magnetization is 0.00 μB/f.u. For the total energy, the calculation gives -807.73 eV/cell.

Unit cell a=5.4764 b=10.8917 c=12.1005 alpha=116.75 beta=103.08 gamma=90.00
Last column: nearest neighbours and their distance in Å.
Positions (direct):
Cd 0.3065 0.8065 0.6129  4 O 2.30-2.31
Cd 0.6935 0.1935 0.3871  4 O 2.30-2.31
Cd 0.5000 0.7331 0.0000  5 Cl 2.54-2.76
Cd 0.0000 0.0000 0.0000  6 Cl 2.57-2.74
Cd 0.5000 0.2669 0.0000  5 Cl 2.54-2.76
Bi 0.8083 0.0624 0.6166  4 O 2.26-2.28
Bi 0.3073 0.3073 0.6147  4 O 2.27
Bi 0.8083 0.5542 0.6166  4 O 2.26-2.28
Bi 0.1917 0.4458 0.3834  4 O 2.26-2.28
Bi 0.6927 0.6927 0.3853  4 O 2.27
Bi 0.1917 0.9376 0.3834  4 O 2.26-2.28
Cl 0.1252 0.6252 0.2503  4 Bi 3.02-3.08, 4 O 3.27
Cl 0.6198 0.8909 0.2396  1 Cd 2.54
Cl 0.1240 0.1240 0.2480  1 Cd 2.59
Cl 0.6198 0.3486 0.2396  1 Cd 2.54
Cl 0.3802 0.6514 0.7604  1 Cd 2.54
Cl 0.8760 0.8760 0.7520  1 Cd 2.59
Cl 0.3802 0.1091 0.7604  1 Cd 2.54
Cl 0.8748 0.3748 0.7497  4 Bi 3.02-3.08, 4 O 3.27
Cl 0.0000 0.2358 0.0000  3 Cd 2.57-2.76
Cl 0.5000 0.5000 0.0000  2 Cd 2.54
Cl 0.0000 0.7642 0.0000  3 Cd 2.57-2.76
Cl 0.5000 0.0000 0.0000  4 Cd 2.74-2.91
O 0.9934 0.6220 0.4992  3 Bi 2.26-2.28, 1 Cd 2.31
O 0.5058 0.8772 0.4992  3 Bi 2.26-2.28, 1 Cd 2.30
O 0.0066 0.1228 0.5008  3 Bi 2.26-2.28, 1 Cd 2.31
O 0.4942 0.3780 0.5008  3 Bi 2.26-2.28, 1 Cd 2.30
O 0.5058 0.6220 0.4992  3 Bi 2.26-2.28, 1 Cd 2.30
O 0.9934 0.8772 0.4992  3 Bi 2.26-2.28, 1 Cd 2.31
O 0.4942 0.1228 0.5008  3 Bi 2.26-2.28, 1 Cd 2.30
O 0.0066 0.3780 0.5008  3 Bi 2.26-2.28, 1 Cd 2.31